Entry 1:
Here is a geometry-optimized TbUMo structure from the Alexandria database. Energies are from PBE.

Properties
final energy = -8.4002 eV/atom
total moment = 0.093 μB per atom
D(E_F) = 11.132 states/eV/cell
energy relative to the elements = 0.516 eV per atom

a = 3.640 Å, b = 5.710 Å, c = 7.615 Å
α = 90.00°, β = 90.00°, γ = 90.00°
Site moments in Bohr magnetons follow the coordinates.
Sites, in units of the cell vectors:
Tb: 0.702 0.000 0.750  0.03
Tb: 0.298 0.000 0.250  0.03
Mo: 0.559 0.500 0.250  -0.02
Mo: 0.441 0.500 0.750  -0.02
U: 0.000 0.500 0.500  0.22
U: 0.000 0.500 0.000  0.22

Entry 2:
Here is a geometry-optimized TbV4Mo structure from the Alexandria database. Energies are from PBE.

Properties
final energy = -8.4037 eV/atom
total moment = 0.000 μB per atom
D(E_F) = 7.945 states/eV/cell
energy relative to the elements = 0.252 eV per atom

a = 5.153 Å, b = 5.153 Å, c = 5.153 Å
α = 60.00°, β = 60.00°, γ = 60.00°
Sites, in units of the cell vectors:
Mo: 0.250 0.250 0.250
Tb: 0.000 0.000 0.000
V: 0.625 0.625 0.125
V: 0.625 0.125 0.625
V: 0.625 0.625 0.625
V: 0.125 0.625 0.625

Entry 3:
Here is a geometry-optimized TbYMo structure from the Alexandria database. Energies are from PBE.

Properties
final energy = -7.0589 eV/atom
total moment = 0.000 μB per atom
D(E_F) = 7.774 states/eV/cell
energy relative to the elements = 0.250 eV per atom

a = 4.314 Å, b = 5.920 Å, c = 6.888 Å
α = 97.09°, β = 108.25°, γ = 90.00°
Sites, in units of the cell vectors:
Mo: 0.744 0.107 0.488
Mo: 0.256 0.893 0.512
Tb: 0.572 0.776 0.144
Tb: 0.428 0.224 0.856
Y: 0.848 0.640 0.696
Y: 0.152 0.360 0.304

Entry 4:
Here is a geometry-optimized TbZn4Mo structure from the Alexandria database. Energies are from PBE.

Properties
final energy = -3.5031 eV/atom
total moment = 0.340 μB per atom
D(E_F) = 4.044 states/eV/cell
energy relative to the elements = -0.077 eV per atom

a = 5.211 Å, b = 5.211 Å, c = 5.211 Å
α = 60.00°, β = 60.00°, γ = 60.00°
Site moments in Bohr magnetons follow the coordinates.
Sites, in units of the cell vectors:
Mo: 0.000 0.000 0.000  1.45
Tb: 0.250 0.250 0.250  0.25
Zn: 0.626 0.626 0.121  0.00
Zn: 0.626 0.121 0.626  0.00
Zn: 0.626 0.626 0.626  0.00
Zn: 0.121 0.626 0.626  0.00

Entry 5:
Here is a geometry-optimized TbZrMo4 structure from the Alexandria database. Energies are from PBE.

Properties
final energy = -9.4113 eV/atom
total moment = 0.000 μB per atom
D(E_F) = 5.958 states/eV/cell
energy relative to the elements = 0.006 eV per atom

a = 5.455 Å, b = 5.455 Å, c = 5.455 Å
α = 60.00°, β = 60.00°, γ = 60.00°
Sites, in units of the cell vectors:
Mo: 0.625 0.625 0.125
Mo: 0.625 0.125 0.625
Mo: 0.625 0.625 0.625
Mo: 0.125 0.625 0.625
Tb: 0.250 0.250 0.250
Zr: 0.000 0.000 0.000

Entry 6:
Here is a geometry-optimized TcMo2 structure from the Alexandria database. Energies are from PBE.

Properties
final energy = -10.4916 eV/atom
total moment = 0.000 μB per atom
D(E_F) = 4.988 states/eV/cell
energy relative to the elements = 0.184 eV per atom

a = 4.792 Å, b = 4.792 Å, c = 5.930 Å
α = 56.55°, β = 56.55°, γ = 67.52°
Sites, in units of the cell vectors:
Tc: 0.378 0.622 0.750
Tc: 0.622 0.378 0.250
Mo: 0.040 0.288 0.751
Mo: 0.712 0.960 0.749
Mo: 0.288 0.040 0.251
Mo: 0.960 0.712 0.249